The following is a DFT calculation (PBE) of a relaxed Ac5Ga2Hg2 crystal.

For the calculated density, the calculation gives 9.00 g/cm3. The density of states at the Fermi level is 33.5 states/eV/cell. The total magnetization is 0.0 μB per cell. The formation energy comes out at -0.421 eV/atom.

It has space group Cmce (No. 64), with a = 17.854 Å, b = 8.481 Å, c = 8.170 Å, α = 90.00°, β = 90.00° and γ = 90.00°. The asymmetric unit holds Ac at (0.000, 0.000, 0.000), Ac at (0.136, 0.184, 0.326), Ga at (0.000, 0.114, 0.611) and Hg at (0.215, 0.000, 0.000).